The following is a GGA-PBE calculation of DySc2S4 after structural relaxation, from Alexandria.

Lattice parameters (Å, degrees): 6.371 6.371 12.677 90.00 90.00 146.33
Fractional positions:
Dy 0.123 0.877 0.750
Dy 0.877 0.123 0.250
Sc 0.372 0.628 0.565
Sc 0.372 0.628 0.935
Sc 0.628 0.372 0.065
Sc 0.628 0.372 0.435
S 0.000 0.000 0.000
S 0.000 0.000 0.500
S 0.273 0.727 0.118
S 0.273 0.727 0.382
S 0.459 0.541 0.750
S 0.541 0.459 0.250
S 0.727 0.273 0.618
S 0.727 0.273 0.882



The following is a GGA-PBE calculation of Dy2Sc2Se2S3 after structural relaxation, from Alexandria.

Lattice parameters (Å, degrees): 9.551 9.551 9.551 150.87 150.87 41.67
Fractional positions:
Dy 0.181 0.181 0.000
Dy 0.819 0.819 0.000
Sc 0.000 0.500 0.500
Sc 0.500 0.000 0.500
Se 0.404 0.404 0.000
Se 0.596 0.596 0.000
S 0.000 0.000 0.000
S 0.250 0.750 0.500
S 0.750 0.250 0.500



| no. | DFT total energy (eV per atom) |
| --- | --- |
| 1 | -6.8030 |
| 2 | -6.1628 |